An optimized crystal structure of PaNbTe4. Source: Alexandria via LeMat-Bulk, functional GGA-PBE.

Its crystal system is monoclinic. As for the formation energy without anion corrections: -0.57 eV per atom.

Structure (CIF):
```
data_PaNbTe4
_cell_length_a 6.8657
_cell_length_b 4.0124
_cell_length_c 7.0506
_cell_angle_alpha 90.00
_cell_angle_beta 90.53
_cell_angle_gamma 90.00
_symmetry_space_group_name_H-M 'P 1 2/m 1'
_symmetry_Int_Tables_number 10
loop_
_symmetry_equiv_pos_as_xyz
'x,y,z'
'-x,-y,-z'
'-x,y,-z'
'x,-y,z'
loop_
_atom_site_label
_atom_site_type_symbol
_atom_site_fract_x
_atom_site_fract_y
_atom_site_fract_z
_atom_site_occupancy
Pa1 Pa 0.0000 0.0000 0.0000 1
Nb1 Nb 0.5000 0.5000 0.0000 1
Te1 Te 0.1847 0.5000 0.2685 1
Te2 Te 0.3483 0.0000 0.7454 1
```


An optimized crystal structure of U2CoOs3. Source: Alexandria via LeMat-Bulk, functional GGA-PBE.

For the formation energy, the calculation gives -0.1111 eV/atom. Its crystal system is hexagonal.

Structure (CIF):
```
data_U2CoOs3
_cell_length_a 5.3628
_cell_length_b 5.3628
_cell_length_c 8.0940
_cell_angle_alpha 90.00
_cell_angle_beta 90.00
_cell_angle_gamma 120.00
_symmetry_space_group_name_H-M 'P 63/m m c'
_symmetry_Int_Tables_number 194
_symmetry_space_group_name_Hall '-P 6c 2c'
loop_
_atom_site_label
_atom_site_type_symbol
_atom_site_fract_x
_atom_site_fract_y
_atom_site_fract_z
_atom_site_occupancy
U1 U 0.3333 0.6667 0.0815 1
Co1 Co 0.0000 0.0000 0.0000 1
Os1 Os 0.1686 0.3372 0.7500 1
```


An optimized crystal structure of HfZrBi2. Source: Alexandria via LeMat-Bulk, functional GGA-PBE.

For the formation energy, the calculation gives 0.1762 eV/atom. Its crystal system is trigonal.

Structure (CIF):
```
data_HfZrBi2
_cell_length_a 3.3513
_cell_length_b 3.3513
_cell_length_c 33.0151
_cell_angle_alpha 90.00
_cell_angle_beta 90.00
_cell_angle_gamma 120.00
_symmetry_space_group_name_H-M 'R -3 m'
_symmetry_Int_Tables_number 166
_symmetry_space_group_name_Hall '-R 3 2"'
loop_
_atom_site_label
_atom_site_type_symbol
_atom_site_fract_x
_atom_site_fract_y
_atom_site_fract_z
_atom_site_occupancy
Hf1 Hf 0.0000 0.0000 0.0000 1
Zr1 Zr 0.0000 0.0000 0.5000 1
Bi1 Bi 0.0000 0.0000 0.0918 1
```


An optimized crystal structure of La2SnIrOs. Source: Alexandria via LeMat-Bulk, functional GGA-PBE.

For the formation energy, the calculation gives 0.0257 eV/atom. Its crystal system is tetragonal.

Structure (CIF):
```
data_La2SnIrOs
_cell_length_a 5.5550
_cell_length_b 5.5550
_cell_length_c 4.7894
_cell_angle_alpha 90.00
_cell_angle_beta 90.00
_cell_angle_gamma 90.00
_symmetry_space_group_name_H-M 'P 4/m m m'
_symmetry_Int_Tables_number 123
_symmetry_space_group_name_Hall '-P 4 2'
loop_
_atom_site_label
_atom_site_type_symbol
_atom_site_fract_x
_atom_site_fract_y
_atom_site_fract_z
_atom_site_occupancy
La1 La 0.0000 0.5000 0.0000 1
Sn1 Sn 0.0000 0.0000 0.5000 1
Ir1 Ir 0.5000 0.5000 0.5000 1
Os1 Os 0.5000 0.5000 0.0000 1
```


An optimized crystal structure of V2ReOs. Source: Alexandria via LeMat-Bulk, functional GGA-PBE.

For the formation energy, the calculation gives -0.3121 eV/atom. Its crystal system is cubic.

Structure (CIF):
```
data_V2ReOs
_cell_length_a 6.0609
_cell_length_b 6.0609
_cell_length_c 6.0609
_cell_angle_alpha 90.00
_cell_angle_beta 90.00
_cell_angle_gamma 90.00
_symmetry_space_group_name_H-M 'F m -3 m'
_symmetry_Int_Tables_number 225
_symmetry_space_group_name_Hall '-F 4 2 3'
loop_
_atom_site_label
_atom_site_type_symbol
_atom_site_fract_x
_atom_site_fract_y
_atom_site_fract_z
_atom_site_occupancy
V1 V 0.2500 0.2500 0.2500 1
Re1 Re 0.0000 0.0000 0.0000 1
Os1 Os 0.0000 0.0000 0.5000 1
```


An optimized crystal structure of PmInH2. Source: Alexandria via LeMat-Bulk, functional GGA-PBE.

Its crystal system is trigonal.

Structure (CIF):
```
data_PmInH2
_cell_length_a 3.7714
_cell_length_b 3.7714
_cell_length_c 16.3823
_cell_angle_alpha 90.00
_cell_angle_beta 90.00
_cell_angle_gamma 120.00
_symmetry_space_group_name_H-M 'R -3 m'
_symmetry_Int_Tables_number 166
_symmetry_space_group_name_Hall '-R 3 2"'
loop_
_atom_site_label
_atom_site_type_symbol
_atom_site_fract_x
_atom_site_fract_y
_atom_site_fract_z
_atom_site_occupancy
Pm1 Pm 0.0000 0.0000 0.0000 1
In1 In 0.0000 0.0000 0.5000 1
H1 H 0.0000 0.0000 0.2951 1
```


An optimized crystal structure of Na2Si2Ru. Source: Alexandria via LeMat-Bulk, functional GGA-PBE.

Its crystal system is tetragonal. As for the formation energy without anion corrections: 0.06 eV per atom.

Structure (CIF):
```
data_Na2Si2Ru
_cell_length_a 6.1816
_cell_length_b 6.1816
_cell_length_c 5.0612
_cell_angle_alpha 90.00
_cell_angle_beta 90.00
_cell_angle_gamma 90.00
_symmetry_space_group_name_H-M 'P 4/m b m'
_symmetry_Int_Tables_number 127
_symmetry_space_group_name_Hall '-P 4 2ab'
loop_
_atom_site_label
_atom_site_type_symbol
_atom_site_fract_x
_atom_site_fract_y
_atom_site_fract_z
_atom_site_occupancy
Na1 Na 0.1830 0.3170 0.0000 1
Si1 Si 0.1418 0.6418 0.5000 1
Ru1 Ru 0.0000 0.0000 0.5000 1
```


An optimized crystal structure of Y2HoTaN4. Source: Alexandria via LeMat-Bulk, functional GGA-PBE.

Its crystal system is monoclinic. As for the formation energy without anion corrections: -1.54 eV per atom.

Structure (CIF):
```
data_Y2HoTaN4
_cell_length_a 5.8120
_cell_length_b 3.3434
_cell_length_c 5.8194
_cell_angle_alpha 90.00
_cell_angle_beta 109.08
_cell_angle_gamma 90.00
_symmetry_space_group_name_H-M 'P 1 2/m 1'
_symmetry_Int_Tables_number 10
loop_
_symmetry_equiv_pos_as_xyz
'x,y,z'
'-x,-y,-z'
'-x,y,-z'
'x,-y,z'
loop_
_atom_site_label
_atom_site_type_symbol
_atom_site_fract_x
_atom_site_fract_y
_atom_site_fract_z
_atom_site_occupancy
Y1 Y 0.0000 0.0000 0.0000 1
Y2 Y 0.5000 0.5000 0.0000 1
Ho1 Ho 0.0000 0.5000 0.5000 1
Ta1 Ta 0.5000 0.0000 0.5000 1
N1 N 0.2643 0.0000 0.7323 1
N2 N 0.2723 0.5000 0.2740 1
```


An optimized crystal structure of Mg8TlCd2. Source: Alexandria via LeMat-Bulk, functional GGA-PBE.

For the formation energy, the calculation gives -0.0288 eV/atom. Its crystal system is monoclinic.

Structure (CIF):
```
data_Mg8TlCd2
_cell_length_a 8.8633
_cell_length_b 14.0863
_cell_length_c 4.8205
_cell_angle_alpha 90.00
_cell_angle_beta 122.88
_cell_angle_gamma 90.00
_symmetry_space_group_name_H-M 'C 1 m 1'
_symmetry_Int_Tables_number 8
loop_
_symmetry_equiv_pos_as_xyz
'x,y,z'
'x,-y,z'
'x+1/2,y+1/2,z'
'x+1/2,-y+1/2,z'
loop_
_atom_site_label
_atom_site_type_symbol
_atom_site_fract_x
_atom_site_fract_y
_atom_site_fract_z
_atom_site_occupancy
Mg1 Mg 0.0000 0.0000 0.0000 1
Mg2 Mg 0.0056 0.1588 0.5056 1
Mg3 Mg 0.0500 0.2938 0.0494 1
Mg4 Mg 0.1948 0.5000 0.1957 1
Mg5 Mg 0.3419 0.1274 0.3424 1
Tl1 Tl 0.2856 0.0000 0.7859 1
Cd1 Cd 0.2462 0.3434 0.7451 1
```


An optimized crystal structure of ZrAgC3. Source: Alexandria via LeMat-Bulk, functional GGA-PBE.

For the formation energy, the calculation gives 2.4554 eV/atom. Its crystal system is cubic.

Structure (CIF):
```
data_ZrAgC3
_cell_length_a 4.0500
_cell_length_b 4.0500
_cell_length_c 4.0500
_cell_angle_alpha 90.00
_cell_angle_beta 90.00
_cell_angle_gamma 90.00
_symmetry_space_group_name_H-M 'P m -3 m'
_symmetry_Int_Tables_number 221
_symmetry_space_group_name_Hall '-P 4 2 3'
loop_
_atom_site_label
_atom_site_type_symbol
_atom_site_fract_x
_atom_site_fract_y
_atom_site_fract_z
_atom_site_occupancy
Zr1 Zr 0.0000 0.0000 0.0000 1
Ag1 Ag 0.5000 0.5000 0.5000 1
C1 C 0.0000 0.5000 0.5000 1
```


Number 1: E -0.4357 Ry per atom. Number 2: E -0.7844 Ry per atom. Number 3: E -0.4696 Ry per atom. Number 4: E -0.4971 Ry per atom. Number 5: E -0.7931 Ry per atom. Number 6: E -0.2848 Ry per atom. Number 7: E -0.3300 Ry per atom. Number 8: E -0.6890 Ry per atom. Number 9: E -0.1154 Ry per atom. Number 10: E -0.3939 Ry per atom.